DFT (PBE-GGA) results for a relaxed BaSrHf crystal.

Summary:
The calculation puts the energy above the most stable polymorph in this dataset at 0.2476 eV/atom. Its raw total energy is -3.9479 eV per atom. The formation energy comes out at 1.71 eV/f.u.

abc: 9.169 4.629 12.584
angles: 90.00 90.00 90.00
Fractional coordinates of all 12 atoms:
Sr: 0.913 0.250 0.765
Sr: 0.587 0.750 0.265
Sr: 0.087 0.750 0.235
Sr: 0.413 0.250 0.735
Hf: 0.440 0.250 0.453
Hf: 0.060 0.750 0.953
Hf: 0.560 0.750 0.547
Hf: 0.940 0.250 0.047
Ba: 0.825 0.250 0.454
Ba: 0.675 0.750 0.954
Ba: 0.175 0.750 0.546
Ba: 0.325 0.250 0.046

=====

DFT (PBE-GGA) results for a relaxed BaSrHf crystal.

Summary:
The calculation puts the energy above the most stable polymorph in this dataset at 0.0000 eV/atom. Its raw total energy is -4.1955 eV per atom. The formation energy comes out at 0.97 eV/f.u.

abc: 16.654 3.969 3.974
angles: 89.94 89.99 76.25
Site moments in Bohr magnetons follow the coordinates.
Fractional coordinates of all 6 atoms:
Sr: 0.918 0.980 0.346  0.01
Sr: 0.121 0.278 0.847  0.03
Hf: 0.337 0.063 0.847  0.50
Hf: 0.266 0.634 0.347  0.50
Ba: 0.489 0.412 0.347  0.00
Ba: 0.710 0.689 0.846  -0.02